CuPO2F after structural relaxation. Source: Alexandria via LeMat-Bulk, functional PBE.

The structure belongs to space group P4/mmm (No. 123); the cell edges are 3.850, 3.850 and 3.723 Å and the angles 90.00°, 90.00° and 90.00°. Symmetry generates all atoms from Cu at (0.000, 0.000, 0.000), P at (0.500, 0.500, 0.500), O at (0.000, 0.500, 0.000) and F at (0.000, 0.000, 0.500).

Its energy relative to the elements, uncorrected is -33 meV/atom. Its density of states at the Fermi level is 2.2 states/eV/cell. The total DFT energy (no corrections) is -4.29 eV per atom.



HoSi2Ni after structural relaxation. Source: Alexandria via LeMat-Bulk, functional PBE.

The structure belongs to space group Pnma (No. 62); the cell edges are 6.754, 3.891 and 9.937 Å and the angles 90.00°, 90.00° and 90.00°. Symmetry generates all atoms from Ho at (0.152, 0.250, 0.127), Si at (0.163, 0.250, 0.825), Si at (0.180, 0.250, 0.430) and Ni at (0.002, 0.750, 0.372).

Its energy relative to the elements, uncorrected is -788 meV/atom. Its density of states at the Fermi level is 9.1 states/eV/cell. The total DFT energy (no corrections) is -6.09 eV per atom.



LaTlRe after structural relaxation. Source: Alexandria via LeMat-Bulk, functional PBE.

The structure belongs to space group C2/m (No. 12); the cell edges are 13.757, 4.261 and 5.556 Å and the angles 90.00°, 101.63° and 90.00°. Symmetry generates all atoms from La at (0.128, 0.000, 0.325), Tl at (0.070, 0.500, 0.793) and Re at (0.222, 0.000, 0.898).

The calculated formation energy comes out at 0.065 eV per atom. Its density of states at the Fermi level is 8.6 states/eV/cell. The total DFT energy (no corrections) is -6.52 eV per atom. The polymorph energy (0 for the lowest one) is 117 meV/atom.



NaLaZn3 after structural relaxation. Source: Alexandria via LeMat-Bulk, functional PBE.

The structure belongs to space group Pm-3m (No. 221); the cell edges are 4.980, 4.980 and 4.980 Å and the angles 90.00°, 90.00° and 90.00°. Symmetry generates all atoms from Na at (0.000, 0.000, 0.000), La at (0.500, 0.500, 0.500) and Zn at (0.000, 0.000, 0.500).

The calculated formation energy comes out at 0.300 eV per atom. Its density of states at the Fermi level is 4.7 states/eV/cell. The total DFT energy (no corrections) is -1.71 eV per atom. The polymorph energy (0 for the lowest one) is 0 meV/atom.



Er3UPd12 after structural relaxation. Source: Alexandria via LeMat-Bulk, functional PBE.

The structure belongs to space group P4/mmm (No. 123); the cell edges are 4.115, 4.115 and 16.386 Å and the angles 90.00°, 90.00° and 90.00°. Symmetry generates all atoms from Er at (0.000, 0.000, 0.000), Er at (0.000, 0.000, 0.246), U at (0.000, 0.000, 0.500), Pd at (0.000, 0.500, 0.125), Pd at (0.000, 0.500, 0.378), Pd at (0.500, 0.500, 0.000), Pd at (0.500, 0.500, 0.251) and Pd at (0.500, 0.500, 0.500).

The calculated formation energy comes out at -0.835 eV per atom. Its density of states at the Fermi level is 12.7 states/eV/cell. The total DFT energy (no corrections) is -6.29 eV per atom.



CsInSi after structural relaxation. Source: Alexandria via LeMat-Bulk, functional PBE.

The structure belongs to space group Cm (No. 8); the cell edges are 14.193, 3.862 and 9.153 Å and the angles 90.00°, 105.75° and 90.00°. Symmetry generates all atoms from Cs at (0.000, 0.000, 0.000), Cs at (0.175, 0.000, 0.632), In at (0.243, 0.500, 0.246), In at (0.449, 0.000, 0.336), Si at (0.371, 0.500, 0.529) and Si at (0.456, 0.000, 0.647).

Its energy relative to the elements, uncorrected is 28 meV/atom. Its density of states at the Fermi level is 4.5 states/eV/cell. The total DFT energy (no corrections) is -2.98 eV per atom.